Entry 1:
The following is a DFT calculation (PBE-GGA) of a relaxed PmDySe2 crystal.

Lattice parameters (Å, degrees): 5.075 5.075 5.075 60.00 60.00 60.00
Fractional coordinates of all 4 atoms:
Pm (0.500, 0.500, 0.500)
Dy (0.000, 0.000, 0.000)
Se (0.750, 0.750, 0.750)
Se (0.250, 0.250, 0.250)

The space-group type is Fm-3m, No. 225. The value obtained for the offset from the most stable computed form is 242 meV per atom. As for the formation energy (no corrections): -6.220 eV/f.u.

---

Entry 2:
The following is a DFT calculation (PBE-GGA) of a relaxed PmDySe2 crystal.

Lattice parameters (Å, degrees): 4.070 4.070 13.995 90.00 90.00 120.00
Fractional coordinates of all 8 atoms:
Se (0.667, 0.333, 0.618)
Se (0.333, 0.667, 0.382)
Se (0.333, 0.667, 0.118)
Se (0.667, 0.333, 0.882)
Dy (0.000, 0.000, 0.000)
Dy (0.000, 0.000, 0.500)
Pm (0.667, 0.333, 0.250)
Pm (0.333, 0.667, 0.750)

The space-group type is P6_3/mmc, No. 194. The value obtained for the offset from the most stable computed form is 0 meV per atom. As for the formation energy (no corrections): -7.188 eV/f.u.

---

Entry 3:
The following is a DFT calculation (PBE-GGA) of a relaxed Pm2Dy2Se5 crystal.

Lattice parameters (Å, degrees): 7.628 7.667 10.323 111.80 111.68 90.00
Fractional coordinates of all 18 atoms:
Dy (0.791, 0.853, 0.500)
Dy (0.209, 0.353, 0.500)
Dy (0.500, 0.463, 0.000)
Dy (0.000, 0.963, 0.000)
Se (0.881, 0.211, 0.500)
Se (0.497, 0.239, 0.706)
Se (0.766, 0.794, 0.117)
Se (0.852, 0.294, 0.117)
Se (0.148, 0.177, 0.883)
Se (0.234, 0.677, 0.883)
Se (0.291, 0.033, 0.294)
Se (0.503, 0.533, 0.294)
Se (0.709, 0.739, 0.706)
Se (0.119, 0.711, 0.500)
Pm (0.880, 0.431, 0.797)
Pm (0.583, 0.134, 0.203)
Pm (0.120, 0.634, 0.203)
Pm (0.417, 0.931, 0.797)

The space-group type is Ima2, No. 46. The value obtained for the offset from the most stable computed form is 131 meV per atom. As for the formation energy (no corrections): -14.646 eV/f.u.

---

- Which of these has the lowest offset from the most stable computed form?
  number 2